Record 1
A relaxed BeInIr2 crystal. Source: the Alexandria database, functional PBE.

VASP energy	-24.13	eV for the cell shown

a = 2.8723 Å, b = 4.1957 Å, c = 5.2321 Å
α = 90.00°, β = 105.84°, γ = 90.00°
Space group Pm (No. 6)
Symmetry-distinct sites (fractional):
Be  0.0000  0.0000  0.0000 [1 per cell]
In  0.6576  0.5000  0.3098 [1 per cell]
Ir  0.3048  0.0000  0.6040 [1 per cell]
Ir  0.9260  0.5000  0.8463 [1 per cell]


Record 2
A relaxed BeInIr2 crystal. Source: the Alexandria database, functional PBE.

VASP energy	-49.06	eV for the cell shown

a = 9.1264 Å, b = 2.8960 Å, c = 4.7573 Å
α = 90.00°, β = 112.63°, γ = 90.00°
Space group C2/m (No. 12)
Symmetry-distinct sites (fractional):
Be  0.0000  0.0000  0.0000 [2 per cell]
In  0.0000  0.5000  0.5000 [2 per cell]
Ir  0.2159  0.5000  0.2133 [4 per cell]


Record 3
A relaxed BeInIr2 crystal. Source: the Alexandria database, functional PBE.

VASP energy	-47.12	eV for the cell shown

a = 3.8261 Å, b = 3.8261 Å, c = 8.1495 Å
α = 90.00°, β = 90.00°, γ = 90.00°
Space group I-4m2 (No. 119)
Symmetry-distinct sites (fractional):
Be  0.0000  0.0000  0.0000 [2 per cell]
In  0.0000  0.5000  0.7500 [2 per cell]
Ir  0.0000  0.0000  0.5000 [2 per cell]
Ir  0.0000  0.5000  0.2500 [2 per cell]


Record 4
A relaxed BeInIr2 crystal. Source: the Alexandria database, functional PBE.

VASP energy	-25.03	eV for the cell shown

a = 2.9767 Å, b = 2.9767 Å, c = 6.4050 Å
α = 90.00°, β = 90.00°, γ = 90.00°
Space group P4/mmm (No. 123)
Symmetry-distinct sites (fractional):
Be  0.0000  0.0000  0.0000 [1 per cell]
In  0.0000  0.0000  0.5000 [1 per cell]
Ir  0.5000  0.5000  0.2099 [2 per cell]


Record 5
A relaxed BeInIr2 crystal. Source: the Alexandria database, functional PBE.

VASP energy	-47.95	eV for the cell shown

a = 3.0199 Å, b = 4.9018 Å, c = 7.9841 Å
α = 90.00°, β = 90.00°, γ = 90.00°
Space group Cmmm (No. 65)
Symmetry-distinct sites (fractional):
Be  0.0000  0.0000  0.0000 [2 per cell]
In  0.0000  0.0000  0.5000 [2 per cell]
Ir  0.0000  0.5000  0.2090 [4 per cell]


Record 6
A relaxed BeIn2Ir crystal. Source: the Alexandria database, functional PBE.

VASP energy	-33.99	eV for the cell shown

a = 5.6625 Å, b = 7.6451 Å, c = 3.1373 Å
α = 90.00°, β = 90.00°, γ = 90.00°
Space group Cmmm (No. 65)
Symmetry-distinct sites (fractional):
Be  0.0000  0.0000  0.0000 [2 per cell]
In  0.2500  0.2500  0.5000 [4 per cell]
Ir  0.0000  0.5000  0.0000 [2 per cell]